## HfBiIrI2 (GGA-PBE)

Data for crystalline HfBiIrI2 at its relaxed geometry.

Geometry as POSCAR:
```
HfBiIrI2
1.0
5.2532 0.0000 0.0000
0.0000 5.4810 0.0000
0.0000 0.0000 5.2532
I Ir Hf Bi
2 1 1 1
direct
0.0000 0.0000 0.5000 I
0.5000 0.0000 0.0000 I
0.0000 0.0000 0.0000 Ir
0.5000 0.5000 0.5000 Hf
0.0000 0.5000 0.0000 Bi
```

Output
Crystal system ... tetragonal
Final energy ... -21.4 eV for the cell shown
Space group ... P4/mmm, No. 123
Formation energy without anion corrections ... 421 kJ/mol of formula units